Record 1
This record from the Alexandria database describes a relaxed TaTlMo2 crystal. The functional is GGA-PBE.

Structure (POSCAR):
```
TaTlMo2
1.0
0.000 3.299 3.299
3.299 0.000 3.299
3.299 3.299 0.000
Ta Tl Mo
1 1 2
direct
0.000 0.000 0.000
0.750 0.750 0.750
0.250 0.250 0.250
0.500 0.500 0.500
```

Calculated values
SG: F-43m (216)
DOS at the Fermi energy in states/eV/f.u.: 4.9
Formation energy from the elements in kcal/mol of atoms: 13.7

***

Record 2
This record from the Alexandria database describes a relaxed LaBe2Zn crystal. The functional is GGA-PBE.

Structure (POSCAR):
```
LaBe2Zn
1.0
-2.234 2.234 7.830
2.234 -2.234 7.830
2.234 2.234 -7.830
La Be Zn
2 4 2
direct
0.375 0.625 0.750
0.625 0.375 0.250
0.000 0.000 0.000
0.000 0.000 0.500
0.000 0.500 0.000
0.500 0.000 0.500
0.125 0.875 0.250
0.875 0.125 0.750
```

Calculated values
SG: I4_1/amd (141)
DOS at the Fermi energy in states/eV/f.u.: 2.9
Formation energy from the elements in kcal/mol of atoms: 2.6

***

Record 3
This record from the Alexandria database describes a relaxed TbGdMnCu crystal. The functional is GGA-PBE.

Structure (POSCAR):
```
TbGdMnCu
1.0
0.000 3.528 3.528
3.528 0.000 3.528
3.528 3.528 0.000
Tb Gd Mn Cu
1 1 1 1
direct
0.000 0.000 0.000
0.500 0.500 0.500
0.750 0.750 0.750
0.250 0.250 0.250
```

Calculated values
SG: F-43m (216)
DOS at the Fermi energy in states/eV/f.u.: 4.6
Formation energy from the elements in kcal/mol of atoms: 1.5

***

Record 4
This record from the Alexandria database describes a relaxed DyHoErZn crystal. The functional is GGA-PBE.

Structure (POSCAR):
```
DyHoErZn
1.0
3.541 0.000 0.000
0.000 3.541 0.000
0.000 0.000 8.564
Dy Ho Er Zn
1 1 1 1
direct
0.000 0.000 0.000
0.500 0.500 0.706
0.500 0.500 0.293
0.000 0.000 0.498
```

Calculated values
SG: P4mm (99)
DOS at the Fermi energy in states/eV/f.u.: 4.2
Formation energy from the elements in kcal/mol of atoms: -3.7

***

Record 5
This record from the Alexandria database describes a relaxed SrLi4Hg5 crystal. The functional is GGA-PBE.

Structure (POSCAR):
```
SrLi4Hg5
1.0
3.529 0.000 0.000
0.000 3.529 0.000
0.000 0.000 17.026
Sr Li Hg
1 4 5
direct
0.000 0.000 0.000
0.000 0.000 0.225
0.000 0.000 0.409
0.000 0.000 0.591
0.000 0.000 0.775
0.500 0.500 0.135
0.500 0.500 0.316
0.500 0.500 0.500
0.500 0.500 0.684
0.500 0.500 0.865
```

Calculated values
SG: P4/mmm (123)
DOS at the Fermi energy in states/eV/f.u.: 3.3
Formation energy from the elements in kcal/mol of atoms: -8.6

***

Record 6
This record from the Alexandria database describes a relaxed Sc4AlNi2 crystal. The functional is GGA-PBE.

Structure (POSCAR):
```
Sc4AlNi2
1.0
2.249 1.299 8.050
-2.249 1.299 8.050
0.000 -2.597 8.050
Sc Al Ni
4 1 2
direct
0.114 0.114 0.114
0.295 0.295 0.295
0.705 0.705 0.705
0.886 0.886 0.886
0.500 0.500 0.500
0.404 0.404 0.404
0.596 0.596 0.596
```

Calculated values
SG: R-3m (166)
DOS at the Fermi energy in states/eV/f.u.: 6.3
Formation energy from the elements in kcal/mol of atoms: -5.6